[1]
Below is a geometry-optimized KCd structure, with properties calculated at the PBE-GGA level.

For the energy of formation from the pure elements, the calculation gives -0.027 eV/atom.

The space group is Cm (No. 8) and the conventional cell measures 13.057, 4.454 and 8.422 Å, with angles of 90.00, 108.59 and 90.00 degrees. The inequivalent atoms are K at (0.000, 0.000, 0.000), K at (0.018, 0.000, 0.451), K at (0.206, 0.500, 0.824), Cd at (0.226, 0.500, 0.356), Cd at (0.304, 0.000, 0.184) and Cd at (0.343, 0.000, 0.604).



[2]
Below is a geometry-optimized K2Cd structure, with properties calculated at the PBE-GGA level.

The energy relative to the lowest polymorph listed for this composition comes out at 0.0 kJ/mol of atoms. For the energy of formation from the pure elements, the calculation gives -0.031 eV/atom.

The space group is I4/mcm (No. 140) and the conventional cell measures 9.243, 9.243 and 6.650 Å, with angles of 90.00, 90.00 and 90.00 degrees. The inequivalent atoms are K at (0.167, 0.333, 0.000) and Cd at (0.000, 0.000, 0.250).